# 1
Below is crystalline Ba8P at its relaxed geometry, with properties calculated at the GGA-PBE level.

Structure (extended XYZ):
```
9
Lattice="6.801 -4.318 7.200 -8.977 4.963 -3.393 -3.668 -9.699 -3.035" Properties=species:S:1:pos:R:3 pbc="T T T"
Ba 2.077 -9.292 2.761
Ba 0.892 -0.843 3.233
Ba -2.282 -2.032 1.619
Ba -3.562 -7.023 -0.848
Ba -3.069 1.487 0.574
Ba 1.056 -4.725 1.404
Ba -8.382 -3.140 -4.261
P 0.000 0.000 0.000
Ba -4.263 -1.597 -2.167
```

Properties
- formation energy from the elements (eV per atom) = -0.119
- symmetry = No. 139
- M_tot (μB per formula unit) = 0.0


# 2
Below is crystalline LaAs3Br at its relaxed geometry, with properties calculated at the GGA-PBE level.

Structure (extended XYZ):
```
5
Lattice="5.100 0.000 0.000 0.000 5.100 0.000 0.000 0.000 5.100" Properties=species:S:1:pos:R:3 pbc="T T T"
As 0.000 2.550 0.000
As 2.550 0.000 0.000
La 2.550 2.550 2.550
As 0.000 0.000 2.550
Br 0.000 0.000 0.000
```

Properties
- symmetry = No. 221
- uncorrected formation energy (meV/atom) = 203
- E above lowest polymorph (eV per atom) = 0.000
- M_tot (μB per formula unit) = 0.0


# 3
Below is crystalline Tl2CdSnF6 at its relaxed geometry, with properties calculated at the GGA-PBE level.

Structure (extended XYZ):
```
10
Lattice="6.436 -0.006 -0.069 0.000 6.530 0.000 -3.271 -3.270 4.623" Properties=species:S:1:pos:R:3 pbc="T T T"
Tl 0.194 3.258 2.450
Sn 3.257 3.265 -0.007
F -1.521 -1.815 4.285
F 2.997 2.793 2.350
Tl 3.320 0.002 2.359
F -0.087 0.370 2.268
F 1.775 -1.546 4.120
F 4.553 5.299 0.144
F 1.352 4.682 0.179
Cd 0.036 0.003 0.025
```

Properties
- symmetry = No. 1
- uncorrected formation energy (meV/atom) = -2043
- M_tot (μB per formula unit) = 0.0


# 4
Below is crystalline Ac2LaAgTe5 at its relaxed geometry, with properties calculated at the GGA-PBE level.

Structure (extended XYZ):
```
18
Lattice="-3.219 -2.633 -1.983 8.463 -2.709 -4.790 2.192 -9.745 9.383" Properties=species:S:1:pos:R:3 pbc="T T T"
Te 8.548 -11.591 1.515
Ac 3.021 -7.573 5.151
Ac 5.333 -12.237 2.238
La 3.693 -8.733 0.249
Te 1.406 -7.322 2.088
Te -0.994 -4.020 1.599
Te 5.902 -10.549 -0.927
Ag 6.971 -7.974 -0.728
Te 1.654 -4.687 -1.814
Te 2.853 -11.065 4.709
Ag 1.380 -11.181 7.255
Te 5.439 -8.877 2.958
Te 4.937 -2.905 -4.157
Te 4.989 -5.829 -0.360
Ac 2.361 -4.000 1.479
La 2.685 -1.650 -2.168
Te 0.744 -1.028 0.157
Ac 4.132 -6.258 -3.751
```

Properties
- symmetry = No. 36
- uncorrected formation energy (meV/atom) = -1347
- M_tot (μB per formula unit) = 0.0


# 5
Below is crystalline TmVTc2 at its relaxed geometry, with properties calculated at the GGA-PBE level.

Structure (extended XYZ):
```
4
Lattice="-0.335 -1.397 2.799 0.655 -2.784 -1.312 6.537 0.947 1.255" Properties=species:S:1:pos:R:3 pbc="T T T"
Tc 5.175 0.750 0.994
V 0.160 -2.090 0.744
Tc 1.362 0.197 0.262
Tm 3.429 -1.617 1.371
```

Properties
- formation energy from the elements (eV per atom) = -0.099
- symmetry = No. 123
- E above lowest polymorph (eV per atom) = 0.000
- M_tot (μB per formula unit) = 0.0


# 6
Below is crystalline KScC at its relaxed geometry, with properties calculated at the GGA-PBE level.

Structure (extended XYZ):
```
6
Lattice="7.469 0.010 0.003 -4.556 5.829 -0.019 -0.001 -0.944 3.192" Properties=species:S:1:pos:R:3 pbc="T T T"
K 0.001 1.941 0.725
C 2.787 3.502 1.192
K 0.810 5.372 0.010
Sc -2.809 4.609 1.513
C 2.483 0.488 0.301
Sc 3.038 1.592 2.363
```

Properties
- formation energy from the elements (eV per atom) = 0.420
- symmetry = No. 1
- E above lowest polymorph (eV per atom) = 0.458
- M_tot (μB per formula unit) = 0.0